(1)
A plane-wave DFT calculation with PBE was carried out for a relaxed structure of HgIr2.

The structure belongs to space group P-62m (No. 189); the cell edges are 7.8515, 7.8515 and 2.8096 Å and the angles 90.00°, 90.00° and 120.00°. The inequivalent atoms are Hg at (0.0000, 0.0000, 0.0000), Hg at (0.3333, 0.6667, 0.5000), Ir at (0.0000, 0.3110, 0.5000) and Ir at (0.0000, 0.6449, 0.0000).

The value obtained for the formation energy is 0.75 eV/atom. The value obtained for the total magnetization is 1.325 μB per formula unit. For the total energy, the calculation gives -47.31 eV for the cell shown.

---

(2)
A plane-wave DFT calculation with PBE was carried out for a relaxed structure of HgIr2.

The structure belongs to space group I4_1/amd (No. 141, origin choice 2); the cell edges are 3.9171, 3.9171 and 15.3688 Å and the angles 90.00°, 90.00° and 90.00°. The inequivalent atoms are Hg at (0.0000, 0.2500, 0.3750) and Ir at (0.0000, 0.2500, 0.7971).

The value obtained for the formation energy is 0.70 eV/atom. The value obtained for the total magnetization is 0.000 μB per formula unit. For the total energy, the calculation gives -63.71 eV for the cell shown.

---

(3)
A plane-wave DFT calculation with PBE was carried out for a relaxed structure of HgIr.

The structure belongs to space group Pmmn (No. 59, origin choice 2); the cell edges are 4.2862, 12.2066 and 4.9969 Å and the angles 90.00°, 90.00° and 90.00°. The inequivalent atoms are Hg at (0.2500, 0.0029, 0.2310), Hg at (0.2500, 0.7500, 0.1680), Ir at (0.2500, 0.2500, 0.2250) and Ir at (0.2500, 0.6441, 0.6588).

The value obtained for the formation energy is 0.61 eV/atom. The value obtained for the total magnetization is 0.000 μB per formula unit. For the total energy, the calculation gives -47.62 eV for the cell shown.

---

(4)
A plane-wave DFT calculation with PBE was carried out for a relaxed structure of HgIr.

The structure belongs to space group P6_3mc (No. 186); the cell edges are 2.8520, 2.8520 and 10.3734 Å and the angles 90.00°, 90.00° and 120.00°. The inequivalent atoms are Hg at (0.3333, 0.6667, 0.0000) and Ir at (0.3333, 0.6667, 0.2638).

The value obtained for the formation energy is 0.70 eV/atom. The value obtained for the total magnetization is 0.452 μB per formula unit. For the total energy, the calculation gives -15.52 eV for the cell shown.

---

(5)
A plane-wave DFT calculation with PBE was carried out for a relaxed structure of HgIr5.

The structure belongs to space group P-6m2 (No. 187); the cell edges are 2.7941, 2.7941 and 13.8099 Å and the angles 90.00°, 90.00° and 120.00°. The inequivalent atoms are Hg at (0.0000, 0.0000, 0.0000), Ir at (0.0000, 0.0000, 0.3422), Ir at (0.6667, 0.3333, 0.1847) and Ir at (0.6667, 0.3333, 0.5000).

The value obtained for the formation energy is 0.26 eV/atom. The value obtained for the total magnetization is 0.000 μB per formula unit. For the total energy, the calculation gives -43.02 eV for the cell shown.

---

(6)
A plane-wave DFT calculation with PBE was carried out for a relaxed structure of HgIr2.

The structure belongs to space group P-62m (No. 189); the cell edges are 4.9781, 4.9781 and 4.6426 Å and the angles 90.00°, 90.00° and 120.00°. The inequivalent atoms are Hg at (0.3333, 0.6667, 0.0000), Ir at (0.0000, 0.0000, 0.0000) and Ir at (0.0000, 0.3055, 0.5000).

The value obtained for the formation energy is 0.53 eV/atom. The value obtained for the total magnetization is 0.000 μB per formula unit. For the total energy, the calculation gives -32.87 eV for the cell shown.

---

(7)
A plane-wave DFT calculation with PBE was carried out for a relaxed structure of Hg5Ir4.

The structure belongs to space group I4/mmm (No. 139); the cell edges are 8.8795, 8.8795 and 4.1502 Å and the angles 90.00°, 90.00° and 90.00°. The inequivalent atoms are Hg at (0.0000, 0.0000, 0.0000), Hg at (0.1707, 0.1707, 0.5000) and Ir at (0.0000, 0.3532, 0.0000).

The value obtained for the formation energy is 0.48 eV/atom. The value obtained for the total magnetization is 0.000 μB per formula unit. For the total energy, the calculation gives -65.19 eV for the cell shown.

---

(8)
A plane-wave DFT calculation with PBE was carried out for a relaxed structure of HgIr4.

The structure belongs to space group Pm-3m (No. 221); the cell edges are 4.8476, 4.8476 and 4.8476 Å and the angles 90.00°, 90.00° and 90.00°. The inequivalent atoms are Hg at (0.0000, 0.0000, 0.0000), Ir at (0.0000, 0.0000, 0.5000) and Ir at (0.5000, 0.5000, 0.5000).

The value obtained for the formation energy is 2.98 eV/atom. The value obtained for the total magnetization is 4.186 μB per formula unit. For the total energy, the calculation gives -20.85 eV for the cell shown.

---

(9)
A plane-wave DFT calculation with PBE was carried out for a relaxed structure of HgIr.

The structure belongs to space group P6_3/mmc (No. 194); the cell edges are 8.0074, 8.0074 and 4.2892 Å and the angles 90.00°, 90.00° and 120.00°. The inequivalent atoms are Hg at (0.1645, 0.3290, 0.2500) and Ir at (0.1150, 0.5575, 0.7500).

The value obtained for the formation energy is 0.46 eV/atom. The value obtained for the total magnetization is 0.000 μB per formula unit. For the total energy, the calculation gives -49.44 eV for the cell shown.

---

(10)
A plane-wave DFT calculation with PBE was carried out for a relaxed structure of HgIr.

The structure belongs to space group Fddd (No. 70, origin choice 2); the cell edges are 5.1789, 8.1236 and 14.6177 Å and the angles 90.00°, 90.00° and 90.00°. The inequivalent atoms are Hg at (0.1250, 0.2937, 0.1250) and Ir at (0.1250, 0.1250, 0.5390).

The value obtained for the formation energy is 0.56 eV/atom. The value obtained for the total magnetization is 0.000 μB per formula unit. For the total energy, the calculation gives -128.65 eV for the cell shown.

---

(11)
A plane-wave DFT calculation with PBE was carried out for a relaxed structure of HgIr.

The structure belongs to space group Cmcm (No. 63); the cell edges are 2.8211, 15.3149 and 3.6015 Å and the angles 90.00°, 90.00° and 90.00°. The inequivalent atoms are Hg at (0.0000, 0.0802, 0.2500) and Ir at (0.0000, 0.2887, 0.2500).

The value obtained for the formation energy is 0.40 eV/atom. The value obtained for the total magnetization is 0.000 μB per formula unit. For the total energy, the calculation gives -33.46 eV for the cell shown.

---

(12)
A plane-wave DFT calculation with PBE was carried out for a relaxed structure of HgIr2.

The structure belongs to space group P-3m1 (No. 164); the cell edges are 2.8024, 2.8024 and 15.6270 Å and the angles 90.00°, 90.00° and 120.00°. The inequivalent atoms are Hg at (0.3333, 0.6667, 0.1200), Ir at (0.3333, 0.6667, 0.4303) and Ir at (0.3333, 0.6667, 0.7083).

The value obtained for the formation energy is 0.33 eV/atom. The value obtained for the total magnetization is 0.000 μB per formula unit. For the total energy, the calculation gives -34.05 eV for the cell shown.

---

Repeat the ninth record exactly.
A plane-wave DFT calculation with PBE was carried out for a relaxed structure of HgIr.

The structure belongs to space group P6_3/mmc (No. 194); the cell edges are 8.0074, 8.0074 and 4.2892 Å and the angles 90.00°, 90.00° and 120.00°. The inequivalent atoms are Hg at (0.1645, 0.3290, 0.2500) and Ir at (0.1150, 0.5575, 0.7500).

The value obtained for the formation energy is 0.46 eV/atom. The value obtained for the total magnetization is 0.000 μB per formula unit. For the total energy, the calculation gives -49.44 eV for the cell shown.

---

Please write out number 4 again, unchanged.
A plane-wave DFT calculation with PBE was carried out for a relaxed structure of HgIr.

The structure belongs to space group P6_3mc (No. 186); the cell edges are 2.8520, 2.8520 and 10.3734 Å and the angles 90.00°, 90.00° and 120.00°. The inequivalent atoms are Hg at (0.3333, 0.6667, 0.0000) and Ir at (0.3333, 0.6667, 0.2638).

The value obtained for the formation energy is 0.70 eV/atom. The value obtained for the total magnetization is 0.452 μB per formula unit. For the total energy, the calculation gives -15.52 eV for the cell shown.